P.
Below is La2CoHgPb after structural relaxation, with properties calculated at the PBE level.

Output
**D(E_F)**: 3.2 states/eV/f.u.
**Total magnetization**: 0.00 μB per cell

Cell: 5.214 5.214 5.071 Å, 90.00 90.00 90.00°
Atoms (fractional coordinates):
Hg: 0.000 0.000 0.500
La: 0.500 0.000 0.000
La: 0.000 0.500 0.000
Pb: 0.500 0.500 0.500
Co: 0.000 0.000 0.000

=====

Q.
Below is La2CoHgPb after structural relaxation, with properties calculated at the PBE level.

Output
**D(E_F)**: 5.3 states/eV/f.u.
**Total magnetization**: 0.00 μB per cell

Cell: 5.323 5.323 4.980 Å, 90.00 90.00 90.00°
Atoms (fractional coordinates):
Hg: 0.500 0.500 0.500
Co: 0.000 0.000 0.000
Pb: 0.000 0.000 0.500
La: 0.500 0.000 0.000
La: 0.000 0.500 0.000

=====

Top of the stability list: P, leading by 33 meV per atom.

=====

P.
Below is SrLa2CoHg after structural relaxation, with properties calculated at the PBE level.

Output
**D(E_F)**: 5.3 states/eV/f.u.
**Total magnetization**: 0.00 μB per cell

Cell: 5.195 5.195 5.984 Å, 90.00 90.00 90.00°
Atoms (fractional coordinates):
Hg: 0.500 0.500 0.500
Sr: 0.000 0.000 0.500
La: 0.000 0.500 0.000
La: 0.500 0.000 0.000
Co: 0.000 0.000 0.000

=====

Q.
Below is SrLa2CoHg after structural relaxation, with properties calculated at the PBE level.

Output
**D(E_F)**: 3.9 states/eV/f.u.
**Total magnetization**: 0.00 μB per cell

Cell: 5.322 5.322 5.387 Å, 90.00 90.00 90.00°
Atoms (fractional coordinates):
La: 0.000 0.500 0.000
La: 0.500 0.000 0.000
Co: 0.000 0.000 0.000
Sr: 0.500 0.500 0.500
Hg: 0.000 0.000 0.500

=====

Top of the stability list: P, leading by 17 meV per atom.

=====

P.
Below is La2ZnCoHg after structural relaxation, with properties calculated at the PBE level.

Output
**D(E_F)**: 4.6 states/eV/f.u.
**Total magnetization**: 0.00 μB per cell

Cell: 4.584 7.218 7.982 Å, 111.39 90.00 90.00°
Atoms (fractional coordinates):
Zn: 0.250 0.584 0.711
Zn: 0.750 0.416 0.289
La: 0.750 0.860 0.653
La: 0.750 0.729 0.053
La: 0.250 0.140 0.347
La: 0.250 0.271 0.947
Co: 0.750 0.071 0.062
Co: 0.250 0.929 0.938
Hg: 0.750 0.339 0.651
Hg: 0.250 0.661 0.349

=====

Q.
Below is La2ZnCoHg after structural relaxation, with properties calculated at the PBE level.

Output
**D(E_F)**: 3.9 states/eV/f.u.
**Total magnetization**: 0.00 μB per cell

Cell: 5.232 5.232 4.749 Å, 90.00 90.00 90.00°
Atoms (fractional coordinates):
Zn: 0.000 0.000 0.500
Hg: 0.500 0.500 0.500
Co: 0.000 0.000 0.000
La: 0.000 0.500 0.000
La: 0.500 0.000 0.000

=====

Top of the stability list: P, leading by 23 meV per atom.

=====

P.
Below is LiCoHg after structural relaxation, with properties calculated at the PBE level.

Output
**D(E_F)**: 4.8 states/eV/f.u.
**Total magnetization**: 1.40 μB per cell

Cell: 4.899 4.899 3.234 Å, 70.73 70.72 38.54°
Site moments in Bohr magnetons follow the coordinates.
Atoms (fractional coordinates):
Co: 0.008 0.008 0.992  1.51
Li: 0.659 0.660 0.340  -0.02
Hg: 0.333 0.332 0.668  -0.02

=====

Q.
Below is LiCoHg after structural relaxation, with properties calculated at the PBE level.

Output
**D(E_F)**: 3.7 states/eV/f.u.
**Total magnetization**: 1.30 μB per cell

Cell: 4.794 4.794 4.794 Å, 145.98 131.15 60.87°
Site moments in Bohr magnetons follow the coordinates.
Atoms (fractional coordinates):
Co: 0.001 0.001 0.000  1.44
Hg: 0.335 0.335 0.000  -0.04
Li: 0.664 0.664 0.000  -0.02

=====

Top of the stability list: Q, leading by 35 meV per atom.

=====

P.
Below is Li2CoHg2 after structural relaxation, with properties calculated at the PBE level.

Output
**D(E_F)**: 3.2 states/eV/f.u.
**Total magnetization**: 3.32 μB per cell

Cell: 7.348 7.348 3.017 Å, 90.00 90.00 90.00°
Site moments in Bohr magnetons follow the coordinates.
Atoms (fractional coordinates):
Li: 0.371 0.871 0.000  -0.01
Li: 0.629 0.129 0.000  -0.01
Li: 0.871 0.629 0.000  -0.01
Li: 0.129 0.371 0.000  -0.01
Hg: 0.171 0.671 0.500  -0.01
Hg: 0.829 0.329 0.500  -0.01
Hg: 0.671 0.829 0.500  -0.01
Hg: 0.329 0.171 0.500  -0.01
Co: 0.500 0.500 0.000  1.79
Co: 0.000 0.000 0.000  1.79

=====

Q.
Below is Li2CoHg2 after structural relaxation, with properties calculated at the PBE level.

Output
**D(E_F)**: 4.5 states/eV/f.u.
**Total magnetization**: 3.02 μB per cell

Cell: 7.161 7.161 3.427 Å, 90.00 90.00 90.00°
Site moments in Bohr magnetons follow the coordinates.
Atoms (fractional coordinates):
Li: 0.845 0.345 0.500  -0.01
Li: 0.655 0.845 0.500  -0.01
Li: 0.155 0.655 0.500  -0.01
Li: 0.345 0.155 0.500  -0.01
Hg: 0.652 0.152 0.000  -0.02
Hg: 0.848 0.652 0.000  -0.02
Hg: 0.152 0.348 0.000  -0.02
Hg: 0.348 0.848 0.000  -0.02
Co: 0.500 0.500 0.000  1.68
Co: 0.000 0.000 0.000  1.68

=====

Top of the stability list: Q, leading by 21 meV per atom.

=====

P.
Below is Mg2CoHgN after structural relaxation, with properties calculated at the PBE level.

Output
**D(E_F)**: 2.8 states/eV/f.u.
**Total magnetization**: 0.00 μB per cell

Cell: 5.078 3.449 5.078 Å, 90.00 90.00 90.00°
Atoms (fractional coordinates):
Mg: 0.000 0.000 0.500
Mg: 0.500 0.000 0.000
N: 0.000 0.500 0.000
Co: 0.000 0.000 0.000
Hg: 0.500 0.500 0.500

=====

Q.
Below is Mg2CoHgN after structural relaxation, with properties calculated at the PBE level.

Output
**D(E_F)**: 2.8 states/eV/f.u.
**Total magnetization**: 0.00 μB per cell

Cell: 4.501 4.501 3.630 Å, 90.00 90.00 90.00°
Atoms (fractional coordinates):
Co: 0.000 0.000 0.500
N: 0.000 0.000 0.000
Mg: 0.000 0.500 0.000
Mg: 0.500 0.000 0.000
Hg: 0.500 0.500 0.500

=====

Top of the stability list: Q, leading by 335 meV per atom.

=====

P.
Below is MnCo3Hg after structural relaxation, with properties calculated at the PBE level.

Output
**D(E_F)**: 11.2 states/eV/f.u.
**Total magnetization**: 5.07 μB per cell

Cell: 4.687 4.687 4.687 Å, 90.00 90.00 90.00°
Site moments in Bohr magnetons follow the coordinates.
Atoms (fractional coordinates):
Co: 0.000 0.000 0.500  2.13
Co: 0.000 0.500 0.000  1.82
Co: 0.500 0.000 0.000  1.58
Mn: 0.500 0.500 0.500  -0.10
Hg: 0.000 0.000 0.000  -0.05

=====

Q.
Below is MnCo3Hg after structural relaxation, with properties calculated at the PBE level.

Output
**D(E_F)**: 7.5 states/eV/f.u.
**Total magnetization**: 0.62 μB per cell

Cell: 4.208 4.208 4.208 Å, 90.00 90.00 90.00°
Site moments in Bohr magnetons follow the coordinates.
Atoms (fractional coordinates):
Hg: 0.500 0.500 0.500  0.00
Mn: 0.000 0.000 0.000  0.07
Co: 0.000 0.500 0.000  0.20
Co: 0.500 0.000 0.000  0.16
Co: 0.000 0.000 0.500  0.21

=====

Top of the stability list: Q, leading by 1159 meV per atom.

=====

P.
Below is MnCoHg2 after structural relaxation, with properties calculated at the PBE level.

Output
**D(E_F)**: 4.9 states/eV/f.u.
**Total magnetization**: 5.06 μB per cell

Cell: 9.014 9.014 9.014 Å, 19.32 19.32 19.32°
Site moments in Bohr magnetons follow the coordinates.
Atoms (fractional coordinates):
Mn: 0.250 0.250 0.250  3.63
Co: 0.750 0.750 0.750  1.49
Hg: 0.497 0.497 0.497  -0.05
Hg: 0.003 0.003 0.003  -0.05

=====

Q.
Below is MnCoHg2 after structural relaxation, with properties calculated at the PBE level.

Output
**D(E_F)**: 1.7 states/eV/f.u.
**Total magnetization**: 5.26 μB per cell

Cell: 9.400 9.400 9.400 Å, 18.44 18.44 18.44°
Site moments in Bohr magnetons follow the coordinates.
Atoms (fractional coordinates):
Hg: 0.013 0.013 0.013  -0.01
Hg: 0.240 0.240 0.240  0.02
Co: 0.760 0.760 0.760  1.65
Mn: 0.488 0.488 0.488  3.48

=====

R.
Below is MnCoHg2 after structural relaxation, with properties calculated at the PBE level.

Output
**D(E_F)**: 3.0 states/eV/f.u.
**Total magnetization**: 5.02 μB per cell

Cell: 4.911 4.911 4.911 Å, 130.19 130.14 73.14°
Site moments in Bohr magnetons follow the coordinates.
Atoms (fractional coordinates):
Co: 0.250 0.750 0.500  1.38
Hg: 0.000 0.000 0.000  -0.05
Hg: 0.500 0.500 0.000  -0.05
Mn: 0.750 0.250 0.500  3.68

=====

Top of the stability list: Q, leading by 30 meV per atom.

=====

P.
Below is MnCoHg2 after structural relaxation, with properties calculated at the PBE level.

Output
**D(E_F)**: 2.1 states/eV/f.u.
**Total magnetization**: 4.86 μB per cell

Cell: 3.119 3.067 7.848 Å, 66.45 90.00 90.00°
Site moments in Bohr magnetons follow the coordinates.
Atoms (fractional coordinates):
Hg: 0.000 0.038 0.956  -0.02
Hg: 0.500 0.222 0.286  0.00
Co: 0.500 0.786 0.712  1.41
Mn: 0.000 0.454 0.547  3.38

=====

Q.
Below is MnCoHg2 after structural relaxation, with properties calculated at the PBE level.

Output
**D(E_F)**: 2.4 states/eV/f.u.
**Total magnetization**: 5.30 μB per cell

Cell: 3.220 3.553 5.947 Å, 90.00 90.00 90.00°
Site moments in Bohr magnetons follow the coordinates.
Atoms (fractional coordinates):
Mn: 0.500 0.500 0.250  3.78
Co: 0.500 0.500 0.750  1.49
Hg: 0.000 0.000 0.507  -0.04
Hg: 0.000 0.000 0.993  -0.04

=====

R.
Below is MnCoHg2 after structural relaxation, with properties calculated at the PBE level.

Output
**D(E_F)**: 2.5 states/eV/f.u.
**Total magnetization**: 5.38 μB per cell

Cell: 4.600 4.600 4.600 Å, 60.00 60.00 60.00°
Site moments in Bohr magnetons follow the coordinates.
Atoms (fractional coordinates):
Hg: 0.250 0.250 0.250  -0.02
Hg: 0.000 0.000 0.000  -0.01
Mn: 0.750 0.750 0.750  3.72
Co: 0.500 0.500 0.500  1.55

=====

S.
Below is MnCoHg2 after structural relaxation, with properties calculated at the PBE level.

Output
**D(E_F)**: 2.3 states/eV/f.u.
**Total magnetization**: 5.01 μB per cell

Cell: 5.512 5.512 5.512 Å, 147.35 130.23 60.80°
Site moments in Bohr magnetons follow the coordinates.
Atoms (fractional coordinates):
Co: 0.268 0.768 0.500  1.46
Hg: 0.023 0.023 0.000  -0.04
Hg: 0.743 0.243 0.500  -0.04
Mn: 0.466 0.466 0.000  3.53

=====

Top of the stability list: P, leading by 91 meV per atom.

=====

P.
Below is MnCoHg2 after structural relaxation, with properties calculated at the PBE level.

Output
**D(E_F)**: 3.6 states/eV/f.u.
**Total magnetization**: 5.23 μB per cell

Cell: 4.724 4.724 3.118 Å, 90.00 90.00 102.82°
Site moments in Bohr magnetons follow the coordinates.
Atoms (fractional coordinates):
Hg: 0.500 0.500 0.000  -0.04
Hg: 0.000 0.000 0.000  -0.04
Mn: 0.500 0.000 0.500  3.67
Co: 0.000 0.500 0.500  1.54

=====

Q.
Below is MnCoHg2 after structural relaxation, with properties calculated at the PBE level.

Output
**D(E_F)**: 4.9 states/eV/f.u.
**Total magnetization**: 4.83 μB per cell

Cell: 4.564 4.564 4.564 Å, 60.00 60.00 60.00°
Site moments in Bohr magnetons follow the coordinates.
Atoms (fractional coordinates):
Hg: 0.750 0.750 0.750  -0.05
Hg: 0.250 0.250 0.250  -0.05
Co: 0.500 0.500 0.500  1.22
Mn: 0.000 0.000 0.000  3.67

=====

Top of the stability list: Q, leading by 12 meV per atom.

=====

P.
Below is MnCoHg2 after structural relaxation, with properties calculated at the PBE level.

Output
**D(E_F)**: 4.3 states/eV/f.u.
**Total magnetization**: 10.79 μB per cell

Cell: 7.342 7.342 5.902 Å, 51.53 51.53 90.00°
Site moments in Bohr magnetons follow the coordinates.
Atoms (fractional coordinates):
Mn: 0.500 0.500 0.000  3.84
Mn: 0.250 0.750 0.500  3.84
Co: 0.750 0.250 0.500  1.49
Co: 0.000 0.000 0.000  1.48
Hg: 0.875 0.893 0.750  -0.04
Hg: 0.643 0.125 0.250  -0.04
Hg: 0.375 0.357 0.750  -0.04
Hg: 0.107 0.625 0.250  -0.04

=====

Q.
Below is MnCoHg2 after structural relaxation, with properties calculated at the PBE level.

Output
**D(E_F)**: 3.3 states/eV/f.u.
**Total magnetization**: 5.06 μB per cell

Cell: 4.794 4.794 5.044 Å, 77.53 77.53 38.23°
Site moments in Bohr magnetons follow the coordinates.
Atoms (fractional coordinates):
Co: 0.750 0.750 0.750  1.43
Mn: 0.250 0.250 0.250  3.70
Hg: 0.495 0.495 0.507  -0.05
Hg: 0.005 0.005 0.993  -0.05

=====

Top of the stability list: Q, leading by 191 meV per atom.

=====

P.
Below is MnCoHg2 after structural relaxation, with properties calculated at the PBE level.

Output
**D(E_F)**: 2.9 states/eV/f.u.
**Total magnetization**: 5.22 μB per cell

Cell: 5.276 5.276 4.672 Å, 70.91 70.91 34.22°
Site moments in Bohr magnetons follow the coordinates.
Atoms (fractional coordinates):
Co: 0.773 0.773 0.753  1.55
Mn: 0.467 0.467 0.510  3.58
Hg: 0.022 0.022 0.958  -0.02
Hg: 0.238 0.238 0.279  -0.01

=====

Q.
Below is MnCoHg2 after structural relaxation, with properties calculated at the PBE level.

Output
**D(E_F)**: 3.2 states/eV/f.u.
**Total magnetization**: 5.14 μB per cell

Cell: 5.086 5.086 5.086 Å, 133.67 133.67 67.60°
Site moments in Bohr magnetons follow the coordinates.
Atoms (fractional coordinates):
Mn: 0.500 0.500 0.000  3.69
Hg: 0.000 0.000 0.000  -0.03
Hg: 0.250 0.750 0.500  -0.03
Co: 0.750 0.250 0.500  1.43

=====

Top of the stability list: P, leading by 55 meV per atom.

=====

P.
Below is Co3HgMo after structural relaxation, with properties calculated at the PBE level.

Output
**D(E_F)**: 5.0 states/eV/f.u.
**Total magnetization**: 0.00 μB per cell

Cell: 4.430 4.430 4.430 Å, 90.00 90.00 90.00°
Atoms (fractional coordinates):
Mo: 0.000 0.000 0.000
Co: 0.000 0.500 0.000
Co: 0.000 0.000 0.500
Co: 0.500 0.000 0.000
Hg: 0.500 0.500 0.500

=====

Q.
Below is Co3HgMo after structural relaxation, with properties calculated at the PBE level.

Output
**D(E_F)**: 18.9 states/eV/f.u.
**Total magnetization**: 8.30 μB per cell

Cell: 4.661 4.661 4.661 Å, 90.00 90.00 90.00°
Site moments in Bohr magnetons follow the coordinates.
Atoms (fractional coordinates):
Co: 0.500 0.000 0.000  1.53
Co: 0.000 0.000 0.500  2.02
Co: 0.000 0.500 0.000  1.78
Mo: 0.500 0.500 0.500  2.60
Hg: 0.000 0.000 0.000  -0.04

=====

Top of the stability list: P, leading by 775 meV per atom.